Here is NaAg2WF8 after structural relaxation from Alexandria via LeMat-Bulk. Energies are from GGA+U.

Unit cell a=4.845 b=5.905 c=7.443 alpha=90.12 beta=90.05 gamma=94.74
Element x y z (fractional)
Na: 0.000 0.000 0.000
Ag: 0.499 0.499 0.772
Ag: 0.501 0.501 0.228
W: 0.000 0.000 0.500
F: 0.198 0.862 0.309
F: 0.198 0.862 0.691
F: 0.264 0.273 0.501
F: 0.301 0.284 0.001
F: 0.699 0.716 0.999
F: 0.736 0.727 0.499
F: 0.802 0.138 0.309
F: 0.802 0.138 0.691

electronic total energy = -4.530 eV/atom
calculated volume = 17.7 Å³/atom
space-group type = P-1